Crystalline Y2NpFeO8 at its relaxed geometry, computed with PBE with a Hubbard U.

Structure (POSCAR):
```
Y2NpFeO8
1.0
3.426 -3.617 0.000
3.426 3.617 0.000
0.000 0.000 6.821
Y Np Fe O
2 1 1 8
Cartesian
0.000 0.000 1.615
0.000 0.000 5.205
3.426 0.000 3.410
3.426 0.000 0.000
1.424 0.000 3.410
1.503 0.000 0.000
3.426 1.299 1.826
3.426 1.299 4.995
3.426 -1.299 1.826
3.426 -1.299 4.995
5.348 0.000 0.000
5.427 0.000 3.410
```

crystal system: orthorhombic
energy: -103.4 eV/cell
mass density: 5.88 g cm⁻³

=====

Crystalline NpZnFeO6 at its relaxed geometry, computed with PBE with a Hubbard U.

Structure (POSCAR):
```
NpZnFeO6
1.0
5.220 0.000 0.000
-2.610 4.521 0.000
0.000 0.000 9.072
Np Zn Fe O
2 2 2 12
Cartesian
0.000 3.014 2.268
2.610 1.507 6.804
0.000 3.014 6.804
2.610 1.507 2.268
0.000 0.000 0.000
0.000 0.000 4.536
-0.799 1.513 1.152
-1.699 3.072 3.384
0.799 1.513 3.384
-0.900 4.456 1.152
1.710 0.065 5.688
0.911 1.449 7.920
1.699 3.072 1.152
0.900 4.456 3.384
3.510 0.065 7.920
1.811 3.007 5.688
4.309 1.449 5.688
3.409 3.007 7.920
```

crystal system: trigonal
energy: -132.7 eV/cell
mass density: 7.05 g cm⁻³

=====

Crystalline NpZn2FeO6 at its relaxed geometry, computed with PBE with a Hubbard U.

Structure (POSCAR):
```
NpZn2FeO6
1.0
5.329 0.000 0.000
-2.628 4.698 0.000
-2.632 -1.526 4.911
Np Zn Fe O
1 2 1 6
Cartesian
0.000 0.000 0.000
0.049 0.057 3.145
0.020 3.115 1.765
-2.630 1.586 2.455
-1.858 -0.074 3.662
-0.886 1.411 1.322
1.636 0.056 1.290
-1.567 3.116 3.620
0.955 1.760 3.589
1.927 3.245 1.249
```

crystal system: triclinic
energy: -70.1 eV/cell
mass density: 7.02 g cm⁻³

=====

Crystalline ZrNpFeO6 at its relaxed geometry, computed with PBE with a Hubbard U.

Structure (POSCAR):
```
ZrNpFeO6
1.0
5.523 0.000 0.000
-2.761 4.783 0.000
0.000 0.000 8.880
Zr Np Fe O
2 2 2 12
Cartesian
0.000 3.188 2.220
2.761 1.594 6.660
0.000 3.188 6.660
2.761 1.594 2.220
0.000 0.000 0.000
0.000 0.000 4.440
-0.915 1.617 5.594
-1.818 3.182 7.726
0.915 1.617 7.726
-0.903 4.766 5.594
1.858 0.016 1.154
0.943 1.601 3.286
1.818 3.182 5.594
0.903 4.766 7.726
3.665 0.016 3.286
1.846 3.166 1.154
4.580 1.601 1.154
3.676 3.166 3.286
```

crystal system: trigonal
energy: -157.6 eV/cell
mass density: 6.80 g cm⁻³